A relaxed Zr6HgC crystal, computed with PBE.

Computed properties:
The density of states at the Fermi level comes out at 0.93 states/eV/atom. As for the space group: R-3, No. 148. Its formation energy is -0.220 eV/atom.

Unit cell a=5.6153 b=5.6149 c=5.6147 alpha=79.90 beta=100.11 gamma=79.90
Closest atoms and distances in Å follow each position.
Element x y z (fractional)
Zr: 0.7679 0.9207 0.6625  1 C 2.26
Zr: 0.9207 0.6625 0.2321  1 C 2.26
Zr: 0.2321 0.0793 0.3375  1 C 2.26
Zr: 0.3375 0.7679 0.9207  1 C 2.26
Zr: 0.6625 0.2321 0.0793  1 C 2.26
Zr: 0.0793 0.3375 0.7679  1 C 2.26
Hg: 0.5000 0.5000 0.5000  12 Zr 3.19-3.23
C: 0.0000 0.0000 0.0000  6 Zr 2.26

---

A relaxed BC2 crystal, computed with PBE.

Computed properties:
The excess energy over the best structure of this formula in the dataset is 1.74 kcal/mol of atoms. The density of states at the Fermi level comes out at 0.08 states/eV/atom. As for the space group: P1, No. 1. Its formation energy is 0.316 eV/atom.

Unit cell a=5.7831 b=5.9187 c=3.7206 alpha=87.60 beta=91.40 gamma=142.92
Closest atoms and distances in Å follow each position.
Element x y z (fractional)
C: 0.5099 0.5044 0.5063  3 C 1.54-1.58, 1 B 1.63
C: 0.6736 0.8155 0.7414  2 C 1.53-1.54, 2 B 1.63
C: 0.5151 0.0206 0.2240  1 C 1.52, 3 B 1.57-1.65
C: 0.6721 0.3475 0.0114  4 C 1.52-1.58
C: 0.8256 0.6565 0.2425  3 C 1.54-1.58
C: 0.9730 0.4785 0.7687  1 C 1.52, 3 B 1.56-1.65
C: 0.3410 0.1744 0.7560  3 C 1.57-1.58, 1 B 1.63
C: 0.9956 0.9856 0.9917  3 C 1.53-1.57, 1 B 1.57
B: 0.7773 0.1408 0.5424  3 C 1.57-1.63
B: 0.1960 0.8521 0.5233  4 C 1.63-1.75
B: 0.1574 0.2972 0.2386  2 C 1.57-1.63
B: 0.3635 0.7269 0.9538  3 C 1.56-1.63